Model w:
The following is a GGA-PBE calculation of NaCoAu after structural relaxation, from the Open Quantum Materials Database.

abc: 6.150 6.150 6.150
angles: 90.00 90.00 90.00
Atoms (fractional coordinates):
Na 0.000 0.000 0.000
Na 0.000 0.500 0.500
Na 0.500 0.000 0.500
Na 0.500 0.500 0.000
Co 0.250 0.250 0.750
Co 0.250 0.750 0.250
Co 0.750 0.250 0.250
Co 0.750 0.750 0.750
Au 0.000 0.000 0.500
Au 0.000 0.500 0.000
Au 0.500 0.000 0.000
Au 0.500 0.500 0.500

Results
Space-group type: No. 216

---

Model x:
The following is a GGA-PBE calculation of NaCoAu after structural relaxation, from the Open Quantum Materials Database.

abc: 6.214 6.214 6.214
angles: 90.00 90.00 90.00
Atoms (fractional coordinates):
Na 0.000 0.000 0.000
Na 0.000 0.500 0.500
Na 0.500 0.000 0.500
Na 0.500 0.500 0.000
Co 0.250 0.250 0.250
Co 0.250 0.750 0.750
Co 0.750 0.250 0.750
Co 0.750 0.750 0.250
Au 0.250 0.250 0.750
Au 0.250 0.750 0.250
Au 0.750 0.250 0.250
Au 0.750 0.750 0.750

Results
Space-group type: No. 216

---

Energy ordering: model w at the bottom, the next structure 41.5 kJ/mol of atoms above.

---

Model w:
The following is a GGA-PBE calculation of NaCoReAu after structural relaxation, from the Open Quantum Materials Database.

abc: 6.161 6.161 6.161
angles: 90.00 90.00 90.00
Atoms (fractional coordinates):
Na 0.000 0.000 0.000
Na 0.000 0.500 0.500
Na 0.500 0.000 0.500
Na 0.500 0.500 0.000
Co 0.000 0.000 0.500
Co 0.000 0.500 0.000
Co 0.500 0.000 0.000
Co 0.500 0.500 0.500
Re 0.250 0.250 0.250
Re 0.250 0.750 0.750
Re 0.750 0.250 0.750
Re 0.750 0.750 0.250
Au 0.250 0.250 0.750
Au 0.250 0.750 0.250
Au 0.750 0.250 0.250
Au 0.750 0.750 0.750

Results
Space-group type: No. 216

---

Model x:
The following is a GGA-PBE calculation of NaCoReAu after structural relaxation, from the Open Quantum Materials Database.

abc: 6.274 6.274 6.274
angles: 90.00 90.00 90.00
Atoms (fractional coordinates):
Na 0.000 0.000 0.000
Na 0.000 0.500 0.500
Na 0.500 0.000 0.500
Na 0.500 0.500 0.000
Co 0.250 0.250 0.750
Co 0.250 0.750 0.250
Co 0.750 0.250 0.250
Co 0.750 0.750 0.750
Re 0.000 0.000 0.500
Re 0.000 0.500 0.000
Re 0.500 0.000 0.000
Re 0.500 0.500 0.500
Au 0.250 0.250 0.250
Au 0.250 0.750 0.750
Au 0.750 0.250 0.750
Au 0.750 0.750 0.250

Results
Space-group type: No. 216

---

Energy ordering: model w at the bottom, the next structure 0.5 kJ/mol of atoms above.

---

Model w:
The following is a GGA-PBE calculation of NbCoSnAu after structural relaxation, from the Open Quantum Materials Database.

abc: 6.483 6.483 6.483
angles: 90.00 90.00 90.00
Atoms (fractional coordinates):
Nb 0.000 0.000 0.000
Nb 0.000 0.500 0.500
Nb 0.500 0.000 0.500
Nb 0.500 0.500 0.000
Co 0.250 0.250 0.750
Co 0.250 0.750 0.250
Co 0.750 0.250 0.250
Co 0.750 0.750 0.750
Sn 0.000 0.000 0.500
Sn 0.000 0.500 0.000
Sn 0.500 0.000 0.000
Sn 0.500 0.500 0.500
Au 0.250 0.250 0.250
Au 0.250 0.750 0.750
Au 0.750 0.250 0.750
Au 0.750 0.750 0.250

Results
Space-group type: No. 216

---

Model x:
The following is a GGA-PBE calculation of NbCoSnAu after structural relaxation, from the Open Quantum Materials Database.

abc: 6.463 6.463 6.463
angles: 90.00 90.00 90.00
Atoms (fractional coordinates):
Nb 0.000 0.000 0.000
Nb 0.000 0.500 0.500
Nb 0.500 0.000 0.500
Nb 0.500 0.500 0.000
Co 0.000 0.000 0.500
Co 0.000 0.500 0.000
Co 0.500 0.000 0.000
Co 0.500 0.500 0.500
Sn 0.250 0.250 0.250
Sn 0.250 0.750 0.750
Sn 0.750 0.250 0.750
Sn 0.750 0.750 0.250
Au 0.250 0.250 0.750
Au 0.250 0.750 0.250
Au 0.750 0.250 0.250
Au 0.750 0.750 0.750

Results
Space-group type: No. 216

---

Energy ordering: model w at the bottom, the next structure 0.9 kJ/mol of atoms above.

---

Model w:
The following is a GGA-PBE calculation of NbTlCoAu after structural relaxation, from the Open Quantum Materials Database.

abc: 6.526 6.526 6.526
angles: 90.00 90.00 90.00
Atoms (fractional coordinates):
Nb 0.000 0.000 0.000
Nb 0.000 0.500 0.500
Nb 0.500 0.000 0.500
Nb 0.500 0.500 0.000
Tl 0.250 0.250 0.250
Tl 0.250 0.750 0.750
Tl 0.750 0.250 0.750
Tl 0.750 0.750 0.250
Co 0.000 0.000 0.500
Co 0.000 0.500 0.000
Co 0.500 0.000 0.000
Co 0.500 0.500 0.500
Au 0.250 0.250 0.750
Au 0.250 0.750 0.250
Au 0.750 0.250 0.250
Au 0.750 0.750 0.750

Results
Space-group type: No. 216

---

Model x:
The following is a GGA-PBE calculation of NbTlCoAu after structural relaxation, from the Open Quantum Materials Database.

abc: 6.533 6.533 6.533
angles: 90.00 90.00 90.00
Atoms (fractional coordinates):
Nb 0.000 0.000 0.000
Nb 0.000 0.500 0.500
Nb 0.500 0.000 0.500
Nb 0.500 0.500 0.000
Tl 0.000 0.000 0.500
Tl 0.000 0.500 0.000
Tl 0.500 0.000 0.000
Tl 0.500 0.500 0.500
Co 0.250 0.250 0.250
Co 0.250 0.750 0.750
Co 0.750 0.250 0.750
Co 0.750 0.750 0.250
Au 0.250 0.250 0.750
Au 0.250 0.750 0.250
Au 0.750 0.250 0.250
Au 0.750 0.750 0.750

Results
Space-group type: No. 216

---

Energy ordering: model x at the bottom, the next structure 2.1 kJ/mol of atoms above.